A plane-wave DFT calculation with PBE was carried out for SbSe3I after structural relaxation.

Values from the calculation:
* density: 5.212 g/cm³
* size of the total moment: 0.0 Bohr magnetons per cell
* crystal system: cubic
* electronic total energy: -2.709 eV per atom
* offset from the most stable computed form: 0 meV/atom
* formation energy without anion corrections: 516 meV/atom

a b c (Å): 5.368 5.368 5.368
angles (deg): 90.00 90.00 90.00
Space group Pm-3m (No. 221)
One atom of each set of equivalent atoms:
Sb1 0.000 0.000 0.000 x1
Se1 0.000 0.000 0.500 x3
I1 0.500 0.500 0.500 x1